Record 1
Ni17Sn, optimized geometry, DFT PBE-GGA; ΔE to the lowest computed polymorph = 0 meV/atom; V = 660.0 Å³ per cell; DFT total energy = -5.41 eV/atom
1.0
4.952 0.000 0.000
-2.476 4.288 0.000
0.000 0.000 31.084
Ni Sn
34 2
Direct
0.000 0.000 0.000 Ni
0.000 0.000 0.195 Ni
0.000 0.000 0.389 Ni
0.000 0.500 0.195 Ni
0.002 0.501 0.390 Ni
0.166 0.332 0.936 Ni
0.166 0.834 0.936 Ni
0.167 0.334 0.130 Ni
0.167 0.334 0.325 Ni
0.167 0.833 0.130 Ni
0.167 0.833 0.325 Ni
0.332 0.166 0.454 Ni
0.333 0.167 0.259 Ni
0.333 0.667 0.065 Ni
0.333 0.667 0.259 Ni
0.334 0.167 0.065 Ni
0.499 0.501 0.390 Ni
0.499 0.998 0.390 Ni
0.500 0.000 0.195 Ni
0.500 0.500 0.195 Ni
0.501 0.002 0.999 Ni
0.501 0.499 0.999 Ni
0.666 0.833 0.130 Ni
0.666 0.833 0.325 Ni
0.667 0.333 0.130 Ni
0.667 0.333 0.325 Ni
0.668 0.834 0.936 Ni
0.833 0.167 0.065 Ni
0.833 0.167 0.259 Ni
0.833 0.666 0.065 Ni
0.833 0.667 0.259 Ni
0.834 0.166 0.454 Ni
0.834 0.668 0.454 Ni
0.998 0.499 0.999 Ni
0.333 0.667 0.476 Sn
0.667 0.333 0.914 Sn

Record 2
Ni8Sn, optimized geometry, DFT PBE-GGA; V = 388.6 Å³ per cell; DFT total energy = -5.37 eV/atom
1.0
3.896 -1.761 0.000
3.896 1.761 0.000
-0.135 0.000 28.320
Ni Sn
16 2
Direct
0.050 0.050 0.041 Ni
0.149 0.149 0.848 Ni
0.152 0.152 0.124 Ni
0.248 0.248 0.207 Ni
0.250 0.250 0.932 Ni
0.350 0.350 0.014 Ni
0.448 0.448 0.820 Ni
0.450 0.450 0.096 Ni
0.550 0.550 0.904 Ni
0.552 0.552 0.180 Ni
0.650 0.650 0.986 Ni
0.750 0.750 0.068 Ni
0.752 0.752 0.793 Ni
0.848 0.848 0.876 Ni
0.851 0.851 0.152 Ni
0.950 0.950 0.959 Ni
0.052 0.052 0.754 Sn
0.948 0.948 0.246 Sn